[1]
{
  "formula": "Ac2NdGe4Pd3",
  "functional": "PBE",
  "state": "optimized geometry",
  "cell": [[4.463, 0.000, 0.000], [0.000, 4.463, 0.000], [0.000, 0.000, 11.566]],
  "species": ["Ge", "Pd", "Nd", "Ac", "Ge", "Pd", "Ge", "Pd", "Ge", "Ac"],
  "frac_coords": [[0.000, 0.500, 0.333], [0.000, 0.500, 0.113], [0.500, 0.500, 0.500], [0.500, 0.000, 0.225], [0.500, 0.500, 0.000], [0.000, 0.000, 0.500], [0.000, 0.000, 0.000], [0.500, 0.000, 0.887], [0.500, 0.000, 0.667], [0.000, 0.500, 0.775]],
  "sg": "P-4m2, No. 115",
  "crystal_system": "tetragonal",
  "final_energy_ev_per_atom": -5.485
}

[2]
{
  "formula": "AcNdGePt",
  "functional": "PBE",
  "state": "optimized geometry",
  "cell": [[-0.278, 5.294, 0.412], [-0.823, 2.258, 4.743], [3.920, 2.691, 2.379]],
  "species": ["Ac", "Pt", "Ge", "Nd"],
  "frac_coords": [[0.500, 0.500, 0.500], [0.250, 0.250, 0.250], [0.750, 0.750, 0.750], [0.000, 0.000, 0.000]],
  "sg": "F-43m, No. 216",
  "crystal_system": "cubic",
  "final_energy_ev_per_atom": -5.665
}

[3]
{
  "formula": "AcNdGePt",
  "functional": "PBE",
  "state": "optimized geometry",
  "cell": [[-1.215, 2.386, -4.042], [-2.821, -3.708, -1.340], [-8.183, 4.398, 5.056]],
  "species": ["Pt", "Nd", "Nd", "Ac", "Ac", "Ge", "Ge", "Pt"],
  "frac_coords": [[0.500, 0.000, 0.654], [0.000, 0.000, 0.500], [0.500, 0.500, 0.500], [0.500, 0.000, 0.167], [0.000, 0.500, 0.833], [0.000, 0.500, 0.120], [0.500, 0.000, 0.880], [0.000, 0.500, 0.346]],
  "sg": "P4/nmm, No. 129",
  "crystal_system": "tetragonal",
  "final_energy_ev_per_atom": -5.580
}

[4]
{
  "formula": "AcNdGe2Pt2",
  "functional": "PBE",
  "state": "optimized geometry",
  "cell": [[4.364, 0.000, 0.000], [-2.182, 3.780, 0.000], [0.000, 0.000, 8.574]],
  "species": ["Pt", "Ac", "Ge", "Pt", "Ge", "Nd"],
  "frac_coords": [[0.333, 0.667, 0.740], [0.000, 0.000, 0.000], [0.333, 0.667, 0.267], [0.667, 0.333, 0.260], [0.667, 0.333, 0.733], [0.000, 0.000, 0.500]],
  "sg": "P-3m1, No. 164",
  "crystal_system": "trigonal",
  "final_energy_ev_per_atom": -6.071
}

[5]
{
  "formula": "AcNd2Ge2Pt7",
  "functional": "PBE",
  "state": "optimized geometry",
  "cell": [[-2.401, -3.272, 1.174], [-0.797, -1.020, -4.022], [10.139, -9.879, -1.152]],
  "species": ["Ge", "Nd", "Pt", "Ge", "Nd", "Pt", "Ac", "Pt", "Pt", "Pt", "Pt", "Pt"],
  "frac_coords": [[0.399, 0.399, 0.259], [0.115, 0.115, 0.640], [0.378, 0.378, 0.431], [0.601, 0.601, 0.741], [0.885, 0.885, 0.360], [0.437, 0.933, 0.166], [0.000, 0.000, 0.000], [0.933, 0.437, 0.166], [0.500, 0.500, 0.000], [0.563, 0.067, 0.834], [0.622, 0.622, 0.569], [0.067, 0.563, 0.834]],
  "sg": "C2/m, No. 12",
  "crystal_system": "monoclinic",
  "final_energy_ev_per_atom": -6.298
}

[6]
{
  "formula": "AcNdPuGe",
  "functional": "PBE",
  "state": "optimized geometry",
  "cell": [[-0.251, 5.446, -0.314], [-3.371, 2.771, 3.282], [2.029, 3.064, 4.040]],
  "species": ["Ac", "Nd", "Pu", "Ge"],
  "frac_coords": [[0.750, 0.750, 0.750], [0.000, 0.000, 0.000], [0.500, 0.500, 0.500], [0.250, 0.250, 0.250]],
  "sg": "F-43m, No. 216",
  "crystal_system": "cubic",
  "final_energy_ev_per_atom": -6.879
}

Sequential DFT formation energy output: -0.78 -0.78 -0.70 -1.04 -0.87 0.08 eV/atom